(1)
Crystalline Sc2TlAgTe4 at its relaxed geometry. Source: Alexandria via LeMat-Bulk, functional GGA-PBE.

## Properties
Formation energy from raw total energies = -18.45 kcal/mol of atoms

POSCAR file:
```
Sc2TlAgTe4
1.0
-2.661 0.816 -3.198
3.822 -6.217 -1.957
-10.793 -8.759 6.748
Te Ag Sc Tl
8 2 4 2
direct
0.264 0.528 0.403 Te
0.542 0.085 0.250 Te
0.264 0.528 0.097 Te
0.458 0.915 0.750 Te
0.000 0.000 0.500 Te
0.000 0.000 0.000 Te
0.736 0.472 0.597 Te
0.736 0.472 0.903 Te
0.835 0.671 0.750 Ag
0.165 0.329 0.250 Ag
0.375 0.750 0.926 Sc
0.625 0.250 0.426 Sc
0.625 0.250 0.074 Sc
0.375 0.750 0.574 Sc
0.862 0.724 0.250 Tl
0.138 0.276 0.750 Tl
```

***

(2)
Crystalline Pa4IrRh12 at its relaxed geometry. Source: Alexandria via LeMat-Bulk, functional GGA-PBE.

POSCAR file:
```
Pa4IrRh12
1.0
-6.092 -3.756 1.086
-0.371 3.407 -6.376
5.654 -4.520 -0.005
Rh Ir Pa
12 1 4
direct
0.704 0.704 0.000 Rh
0.500 0.250 0.750 Rh
0.250 0.500 0.750 Rh
0.000 0.296 0.296 Rh
0.750 0.250 0.500 Rh
0.500 0.750 0.250 Rh
0.704 0.000 0.704 Rh
0.750 0.500 0.250 Rh
0.250 0.750 0.500 Rh
0.296 0.000 0.296 Rh
0.296 0.296 0.000 Rh
0.000 0.704 0.704 Rh
0.000 0.000 0.000 Ir
0.500 0.500 0.500 Pa
0.000 0.500 0.000 Pa
0.500 0.000 0.000 Pa
0.000 0.000 0.500 Pa
```

***

(3)
Crystalline CdH4Br2O8 at its relaxed geometry. Source: Alexandria via LeMat-Bulk, functional GGA-PBE.

POSCAR file:
```
CdH4Br2O8
1.0
-3.831 1.516 -4.697
5.136 -5.222 -5.874
-7.283 -10.157 2.662
H Cd O Br
16 4 32 8
direct
0.850 0.480 0.882 H
0.650 0.520 0.382 H
0.757 0.068 0.419 H
0.243 0.568 0.081 H
0.150 0.980 0.618 H
0.693 0.590 0.927 H
0.869 0.919 0.397 H
0.257 0.432 0.581 H
0.350 0.020 0.118 H
0.307 0.090 0.573 H
0.369 0.581 0.603 H
0.131 0.419 0.103 H
0.631 0.081 0.897 H
0.807 0.410 0.427 H
0.193 0.910 0.073 H
0.743 0.932 0.919 H
0.061 0.577 0.283 Cd
0.561 0.923 0.717 Cd
0.439 0.423 0.783 Cd
0.939 0.077 0.217 Cd
0.702 0.489 0.907 O
0.884 0.759 0.718 O
0.252 0.993 0.829 O
0.579 0.216 0.694 O
0.919 0.273 0.081 O
0.384 0.741 0.282 O
0.616 0.241 0.218 O
0.848 0.033 0.619 O
0.079 0.284 0.306 O
0.270 0.510 0.633 O
0.248 0.007 0.329 O
0.230 0.490 0.133 O
0.419 0.227 0.919 O
0.730 0.010 0.867 O
0.770 0.990 0.367 O
0.116 0.259 0.782 O
0.207 0.266 0.509 O
0.752 0.507 0.171 O
0.652 0.967 0.119 O
0.298 0.989 0.593 O
0.748 0.493 0.671 O
0.202 0.011 0.093 O
0.707 0.234 0.491 O
0.348 0.467 0.381 O
0.921 0.784 0.194 O
0.581 0.727 0.581 O
0.421 0.716 0.806 O
0.081 0.773 0.419 O
0.152 0.533 0.881 O
0.798 0.511 0.407 O
0.293 0.734 0.009 O
0.793 0.766 0.991 O
0.182 0.151 0.882 Br
0.202 0.711 0.885 Br
0.682 0.349 0.118 Br
0.298 0.289 0.385 Br
0.702 0.789 0.115 Br
0.318 0.849 0.382 Br
0.798 0.211 0.615 Br
0.818 0.651 0.618 Br
```

***

(4)
Crystalline AcLa3S at its relaxed geometry. Source: Alexandria via LeMat-Bulk, functional GGA-PBE.

## Properties
Formation energy from raw total energies = -17.60 kcal/mol of atoms

POSCAR file:
```
AcLa3S
1.0
-0.872 4.125 -3.791
-4.743 -2.586 -1.723
-2.983 2.906 3.849
La S Ac
3 1 1
direct
0.000 0.000 0.500 La
0.000 0.500 0.000 La
0.500 0.000 0.000 La
0.000 0.000 0.000 S
0.500 0.500 0.500 Ac
```

***

(5)
Crystalline LiSm2Ho3Te6 at its relaxed geometry. Source: Alexandria via LeMat-Bulk, functional GGA-PBE.

## Properties
Formation energy from raw total energies = -30.50 kcal/mol of atoms

POSCAR file:
```
LiSm2Ho3Te6
1.0
-3.167 -0.474 -2.949
-1.156 -8.278 2.572
-4.369 5.141 7.080
Ho Te Sm Li
3 6 2 1
direct
0.830 0.168 0.660 Ho
0.500 0.500 0.000 Ho
0.170 0.832 0.340 Ho
0.002 0.756 0.003 Te
0.338 0.924 0.675 Te
0.337 0.410 0.675 Te
0.998 0.244 0.997 Te
0.663 0.590 0.325 Te
0.662 0.076 0.325 Te
0.171 0.342 0.341 Sm
0.829 0.658 0.659 Sm
0.500 0.000 0.000 Li
```

***

(6)
Crystalline AlRh3Br at its relaxed geometry. Source: Alexandria via LeMat-Bulk, functional GGA-PBE.

## Properties
Formation energy from raw total energies = 20.56 kcal/mol of atoms

POSCAR file:
```
AlRh3Br
1.0
-3.672 -1.443 -2.322
2.527 -3.275 -1.960
-1.044 -2.854 3.423
Rh Al Br
3 1 1
direct
0.500 0.000 0.000 Rh
0.000 0.500 0.000 Rh
0.000 0.000 0.500 Rh
0.500 0.500 0.500 Al
0.000 0.000 0.000 Br
```

***

Values of E_tot, in order: -4.6058; -8.5930; -4.3172; -5.3670; -4.9838; -4.6023, all in eV/atom.